# HfTa2Nb

Crystalline HfTa2Nb at its relaxed geometry (PBE, the Alexandria database).

The calculation puts the energy of formation from the pure elements at 0.2801 eV per atom. Its crystal system is trigonal. Its symmetry is No. 166. As for the total DFT energy (no corrections): -10.65 eV/atom.

a = 9.2562 Å, b = 9.2562 Å, c = 9.2562 Å
α = 19.65°, β = 19.65°, γ = 19.65°
With the nearest neighbours (Å) after each atom.
Element x y z (fractional)
Hf (0.0000, 0.0000, 0.0000)  6 Ta 3.03, 6 Hf 3.16
Ta (0.2443, 0.2443, 0.2443)  3 Nb 2.79, 3 Hf 3.03
Ta (0.7557, 0.7557, 0.7557)  3 Nb 2.79, 3 Hf 3.03
Nb (0.5000, 0.5000, 0.5000)  6 Ta 2.79